# LuHfHg2 | Alexandria | PBE-GGA | optimized geometry
data_LuHfHg2
_chemical_formula_sum 'Lu1 Hf1 Hg2'
_symmetry_space_group_name_H-M 'P 4/m m m'
_symmetry_Int_Tables_number 123
_symmetry_space_group_name_Hall '-P 4 2'
_cell_length_a 3.559
_cell_length_b 3.559
_cell_length_c 7.137
_cell_angle_alpha 90.00
_cell_angle_beta 90.00
_cell_angle_gamma 90.00
loop_
_atom_site_label
_atom_site_type_symbol
_atom_site_fract_x
_atom_site_fract_y
_atom_site_fract_z
Lu1 Lu 0.000 0.000 0.000
Hf1 Hf 0.000 0.000 0.500
Hg1 Hg 0.500 0.500 0.258
# Size of the total moment: 0.149 μB/atom
# Crystal system: tetragonal
# ΔE_f: -0.19 eV per atom
# Energy relative to the lowest polymorph listed for this composition: 0 meV/atom

***

# Lu2HfHg | Alexandria | PBE-GGA | optimized geometry
data_Lu2HfHg
_chemical_formula_sum 'Lu2 Hf1 Hg1'
_symmetry_space_group_name_H-M 'P 4/m m m'
_symmetry_Int_Tables_number 123
_symmetry_space_group_name_Hall '-P 4 2'
_cell_length_a 4.630
_cell_length_b 4.630
_cell_length_c 4.522
_cell_angle_alpha 90.00
_cell_angle_beta 90.00
_cell_angle_gamma 90.00
loop_
_atom_site_label
_atom_site_type_symbol
_atom_site_fract_x
_atom_site_fract_y
_atom_site_fract_z
Lu1 Lu 0.000 0.500 0.000
Hf1 Hf 0.000 0.000 0.500
Hg1 Hg 0.500 0.500 0.500
# Size of the total moment: 0.212 μB/atom
# Crystal system: tetragonal
# ΔE_f: -0.03 eV per atom
# Energy relative to the lowest polymorph listed for this composition: 176 meV/atom